The following is a DFT calculation (PBE with a Hubbard U) of a geometry-optimized Be2TlMoF8 structure.

a b c (Å): 5.0154 5.0154 8.7311
angles (deg): 73.31 73.31 60.00
Closest atoms and distances in Å follow each position.
Fractional coordinates of all 12 atoms:
Be  0.2584  0.2584  0.2247  4 F 1.50-1.59
Be  0.7416  0.7416  0.7753  4 F 1.50-1.59
Tl  0.5000  0.5000  0.5000  6 F 3.00
Mo  0.0000  0.0000  0.0000  6 F 2.10
F  0.1979  0.1979  0.4064  1 Be 1.50
F  0.5892  0.2554  0.1527  1 Be 1.59
F  0.8021  0.8021  0.5936  1 Be 1.50
F  0.0027  0.5892  0.1527  1 Be 1.59
F  0.9973  0.4108  0.8473  1 Be 1.59
F  0.2554  0.0027  0.1527  1 Be 1.59
F  0.7446  0.9973  0.8473  1 Be 1.59
F  0.4108  0.7446  0.8473  1 Be 1.59

Summary:
E_tot, eV per atom: -5.47
Calculated density, g cm⁻³: 4.353
Magnetization, μB per formula unit: 3.0